A geometry-optimized LuCuNiSb structure, computed with PBE.

a = 6.4787 Å, b = 6.4787 Å, c = 6.4787 Å
α = 90.00°, β = 90.00°, γ = 90.00°
Closest atoms and distances in Å follow each position.
Space group F-43m (No. 216)
Unique sites:
Lu: 0.0000 0.0000 0.0000 x4  4 Ni 2.81, 4 Cu 2.81
Cu: 0.2500 0.2500 0.7500 x4  4 Sb 2.81, 4 Lu 2.81
Ni: 0.2500 0.2500 0.2500 x4  4 Sb 2.81, 4 Lu 2.81
Sb: 0.0000 0.0000 0.5000 x4  4 Cu 2.81, 4 Ni 2.81

Total magnetic moment: 0.00 μB per atom
V: 68.0 Å³/f.u.
Total energy: -0.1788 hartree per atom